No. 1
# Pa2NiAs

A relaxed Pa2NiAs crystal (GGA-PBE, Alexandria).

Size of the total moment, μB/f.u.: 0.00
Space group: R-3m
Energy above the lowest structure with this stoichiometry, meV/atom: 112.1

Unit cell a=3.884 b=3.884 c=20.723 alpha=90.00 beta=90.00 gamma=120.00
Element x y z (fractional)
Pa  0.000  0.000  0.243
Pa  0.000  0.000  0.757
Pa  0.333  0.667  0.423
Pa  0.333  0.667  0.910
Pa  0.667  0.333  0.090
Pa  0.667  0.333  0.577
Ni  0.000  0.000  0.500
Ni  0.333  0.667  0.167
Ni  0.667  0.333  0.833
As  0.000  0.000  0.000
As  0.333  0.667  0.667
As  0.667  0.333  0.333


No. 2
# CaTeC

A relaxed CaTeC crystal (GGA-PBE, Alexandria).

Size of the total moment, μB/f.u.: 0.00
Space group: P1
Formation energy (no corrections), kJ per mole of atoms: -36.8
Energy above the lowest structure with this stoichiometry, meV/atom: 74.2

Unit cell a=4.373 b=4.541 c=8.134 alpha=92.61 beta=103.11 gamma=90.37
Element x y z (fractional)
Ca  0.000  0.000  0.000
Ca  0.349  0.647  0.600
Te  0.638  0.835  0.285
Te  0.860  0.150  0.601
C  0.294  0.467  0.946
C  0.487  0.665  0.924


No. 3
# NiAgTe3

A relaxed NiAgTe3 crystal (GGA-PBE, Alexandria).

Size of the total moment, μB/f.u.: 1.48
Space group: Pm-3m
Formation energy (no corrections), kJ per mole of atoms: 102.0
Energy above the lowest structure with this stoichiometry, meV/atom: 966.5

Unit cell a=5.367 b=5.367 c=5.367 alpha=90.00 beta=90.00 gamma=90.00
Element x y z (fractional)
Ni  0.000  0.000  0.000
Ag  0.500  0.500  0.500
Te  0.000  0.500  0.500
Te  0.500  0.000  0.500
Te  0.500  0.500  0.000


No. 4
# Y2ErTh5

A relaxed Y2ErTh5 crystal (GGA-PBE, Alexandria).

Size of the total moment, μB/f.u.: 0.00
Space group: Pbam
Total DFT energy (no corrections), eV per cell: -108.241

Unit cell a=7.149 b=14.330 c=5.026 alpha=90.00 beta=90.00 gamma=90.00
Element x y z (fractional)
Y  0.247  0.125  0.000
Y  0.253  0.625  0.000
Y  0.747  0.375  0.000
Y  0.753  0.875  0.000
Er  0.000  0.000  0.500
Er  0.500  0.500  0.500
Th  0.000  0.500  0.500
Th  0.003  0.750  0.500
Th  0.244  0.373  0.000
Th  0.256  0.873  0.000
Th  0.497  0.250  0.500
Th  0.500  0.000  0.500
Th  0.503  0.750  0.500
Th  0.744  0.127  0.000
Th  0.756  0.627  0.000
Th  0.997  0.250  0.500


No. 5
# ZnIr2WBr

A relaxed ZnIr2WBr crystal (GGA-PBE, Alexandria).

Size of the total moment, μB/f.u.: 2.90
Space group: P4/mmm
Formation energy (no corrections), kJ per mole of atoms: 203.9

Unit cell a=4.642 b=4.642 c=4.522 alpha=90.00 beta=90.00 gamma=90.00
Element x y z (fractional)
Zn  0.000  0.000  0.000
Ir  0.000  0.500  0.500
Ir  0.500  0.000  0.500
W  0.500  0.500  0.000
Br  0.000  0.000  0.500


No. 6
# PrEr3As4

A relaxed PrEr3As4 crystal (GGA-PBE, Alexandria).

Size of the total moment, μB/f.u.: 0.00
Space group: Cmmm
Total DFT energy (no corrections), eV per cell: -98.123

Unit cell a=8.282 b=11.712 c=4.143 alpha=90.00 beta=90.00 gamma=90.00
Element x y z (fractional)
Pr  0.000  0.000  0.000
Pr  0.500  0.500  0.000
Er  0.000  0.500  0.000
Er  0.250  0.250  0.500
Er  0.250  0.750  0.500
Er  0.500  0.000  0.000
Er  0.750  0.250  0.500
Er  0.750  0.750  0.500
As  0.000  0.255  0.000
As  0.000  0.745  0.000
As  0.241  0.500  0.500
As  0.259  0.000  0.500
As  0.500  0.245  0.000
As  0.500  0.755  0.000
As  0.741  0.000  0.500
As  0.759  0.500  0.500


No. 7
# Hg2AuI6

A relaxed Hg2AuI6 crystal (GGA-PBE, Alexandria).

Size of the total moment, μB/f.u.: 0.00
Space group: C2/c
Formation energy (no corrections), kJ per mole of atoms: -16.7
Energy above the lowest structure with this stoichiometry, meV/atom: 0.0

Unit cell a=11.757 b=11.757 c=7.884 alpha=107.19 beta=107.19 gamma=84.69
Element x y z (fractional)
Hg  0.026  0.199  0.106
Hg  0.199  0.026  0.606
Hg  0.801  0.974  0.394
Hg  0.974  0.801  0.894
Au  0.500  0.500  0.250
Au  0.500  0.500  0.750
I  0.033  0.196  0.595
I  0.124  0.621  0.879
I  0.196  0.033  0.095
I  0.378  0.382  0.394
I  0.379  0.876  0.621
I  0.382  0.378  0.894
I  0.618  0.622  0.106
I  0.621  0.124  0.379
I  0.622  0.618  0.606
I  0.804  0.967  0.905
I  0.876  0.379  0.121
I  0.967  0.804  0.405


No. 8
# ScAgN2O

A relaxed ScAgN2O crystal (GGA-PBE, Alexandria).

Size of the total moment, μB/f.u.: 4.01
Space group: P4/mmm
Formation energy (no corrections), kJ per mole of atoms: 37.5

Unit cell a=4.320 b=4.320 c=4.034 alpha=90.00 beta=90.00 gamma=90.00
Element x y z (fractional)
Sc  0.000  0.000  0.000
Ag  0.500  0.500  0.500
N  0.000  0.500  0.000
N  0.500  0.000  0.000
O  0.000  0.000  0.500


No. 9
# Na2ZnCoH6

A relaxed Na2ZnCoH6 crystal (GGA-PBE, Alexandria).

Size of the total moment, μB/f.u.: 0.00
Space group: P-3m1
Total DFT energy (no corrections), eV per cell: -32.561

Unit cell a=5.049 b=5.049 c=4.618 alpha=90.00 beta=90.00 gamma=120.00
Element x y z (fractional)
Na  0.333  0.667  0.305
Na  0.667  0.333  0.695
Zn  0.000  0.000  0.000
Co  0.000  0.000  0.500
H  0.150  0.301  0.699
H  0.150  0.850  0.699
H  0.301  0.150  0.301
H  0.699  0.850  0.699
H  0.850  0.150  0.301
H  0.850  0.699  0.301


No. 10
# BaSmPt2

A relaxed BaSmPt2 crystal (GGA-PBE, Alexandria).

Size of the total moment, μB/f.u.: 0.00
Space group: R3m
Energy above the lowest structure with this stoichiometry, meV/atom: 125.8

Unit cell a=4.234 b=4.234 c=22.662 alpha=90.00 beta=90.00 gamma=120.00
Element x y z (fractional)
Ba  0.000  0.000  0.000
Ba  0.333  0.667  0.667
Ba  0.667  0.333  0.333
Sm  0.000  0.000  0.171
Sm  0.333  0.667  0.838
Sm  0.667  0.333  0.505
Pt  0.000  0.000  0.575
Pt  0.000  0.000  0.766
Pt  0.333  0.667  0.242
Pt  0.333  0.667  0.433
Pt  0.667  0.333  0.100
Pt  0.667  0.333  0.909


No. 11
# Ta2TeOs

A relaxed Ta2TeOs crystal (GGA-PBE, Alexandria).

Size of the total moment, μB/f.u.: 0.00
Space group: P4/mmm
Formation energy (no corrections), kJ per mole of atoms: 7.8

Unit cell a=3.123 b=3.123 c=7.465 alpha=90.00 beta=90.00 gamma=90.00
Element x y z (fractional)
Ta  0.000  0.000  0.225
Ta  0.000  0.000  0.775
Te  0.500  0.500  0.500
Os  0.500  0.500  0.000


No. 12
# Li2ReSi

A relaxed Li2ReSi crystal (GGA-PBE, Alexandria).

Size of the total moment, μB/f.u.: 0.00
Space group: P4/mmm
Formation energy (no corrections), kJ per mole of atoms: 39.3

Unit cell a=4.387 b=4.387 c=2.633 alpha=90.00 beta=90.00 gamma=90.00
Element x y z (fractional)
Li  0.000  0.500  0.000
Li  0.500  0.000  0.000
Re  0.000  0.000  0.500
Si  0.500  0.500  0.500


No. 13
# ReAsW

A relaxed ReAsW crystal (GGA-PBE, Alexandria).

Size of the total moment, μB/f.u.: 0.00
Space group: Imm2
Energy above the lowest structure with this stoichiometry, meV/atom: 155.5

Unit cell a=2.962 b=4.144 c=7.681 alpha=90.00 beta=90.00 gamma=90.00
Element x y z (fractional)
Re  0.000  0.000  0.000
Re  0.500  0.500  0.500
As  0.000  0.000  0.329
As  0.500  0.500  0.829
W  0.000  0.000  0.659
W  0.500  0.500  0.159


No. 14
# Al4Ni7Au

A relaxed Al4Ni7Au crystal (GGA-PBE, Alexandria).

Size of the total moment, μB/f.u.: 0.00
Space group: C2/m
Total DFT energy (no corrections), eV per cell: -60.151

Unit cell a=5.258 b=5.258 c=8.811 alpha=117.66 beta=117.66 gamma=51.38
Element x y z (fractional)
Al  0.097  0.097  0.275
Al  0.246  0.246  0.827
Al  0.754  0.754  0.173
Al  0.903  0.903  0.725
Ni  0.000  0.000  0.500
Ni  0.141  0.141  0.023
Ni  0.283  0.283  0.586
Ni  0.445  0.445  0.148
Ni  0.555  0.555  0.852
Ni  0.717  0.717  0.414
Ni  0.859  0.859  0.977
Au  0.500  0.500  0.500


No. 15
# Ce7Os2Pt2

A relaxed Ce7Os2Pt2 crystal (GGA-PBE, Alexandria).

Size of the total moment, μB/f.u.: 3.46
Space group: Imm2
Energy above the lowest structure with this stoichiometry, meV/atom: 0.0

Unit cell a=8.945 b=8.945 c=8.945 alpha=154.27 beta=70.14 gamma=116.03
Element x y z (fractional)
Ce  0.000  0.000  0.000
Ce  0.290  0.392  0.898
Ce  0.318  0.627  0.691
Ce  0.494  0.392  0.102
Ce  0.611  0.235  0.376
Ce  0.858  0.235  0.624
Ce  0.936  0.627  0.309
Os  0.206  0.706  0.500
Os  0.666  0.666  0.000
Pt  0.166  0.927  0.239
Pt  0.687  0.927  0.761


No. 16
# Pu2SiP

A relaxed Pu2SiP crystal (GGA-PBE, Alexandria).

Size of the total moment, μB/f.u.: 10.26
Space group: P4/mmm
Formation energy (no corrections), kJ per mole of atoms: -58.8
Energy above the lowest structure with this stoichiometry, meV/atom: 146.6

Unit cell a=3.284 b=3.284 c=7.473 alpha=90.00 beta=90.00 gamma=90.00
Element x y z (fractional)
Pu  0.000  0.000  0.231
Pu  0.000  0.000  0.769
Si  0.500  0.500  0.500
P  0.500  0.500  0.000


No. 17
# KPb5

A relaxed KPb5 crystal (GGA-PBE, Alexandria).

Size of the total moment, μB/f.u.: 0.00
Space group: Cmmm
Energy above the lowest structure with this stoichiometry, meV/atom: 11.5

Unit cell a=5.109 b=14.129 c=5.418 alpha=90.00 beta=90.00 gamma=90.00
Element x y z (fractional)
K  0.000  0.000  0.000
K  0.500  0.500  0.000
Pb  0.000  0.170  0.500
Pb  0.000  0.324  0.000
Pb  0.000  0.500  0.500
Pb  0.000  0.676  0.000
Pb  0.000  0.830  0.500
Pb  0.500  0.000  0.500
Pb  0.500  0.176  0.000
Pb  0.500  0.330  0.500
Pb  0.500  0.670  0.500
Pb  0.500  0.824  0.000